1.
## NbRe2NiH (PBE-GGA)

Data for a relaxed NbRe2NiH crystal.

a b c (Å): 3.9882 3.9882 3.8333
angles (deg): 90.00 90.00 90.00
With the nearest neighbours (Å) after each atom.
Positions (direct):
1 Ni 0.0000 0.0000 0.5000  2 H 1.92
2 Re 0.5000 0.0000 0.0000  2 H 1.99
3 Re 0.0000 0.5000 0.0000  2 H 1.99
4 H 0.0000 0.0000 0.0000  2 Ni 1.92, 4 Re 1.99
5 Nb 0.5000 0.5000 0.5000  8 Re 2.77, 4 Ni 2.82

The calculation puts the raw total energy at -8.82 eV per atom. For the total moment, the calculation gives 0.000 μB per atom.



2.
## Nd6SbTe3Se2 (PBE-GGA)

Data for a relaxed Nd6SbTe3Se2 crystal.

a b c (Å): 7.5948 7.5948 7.7648
angles (deg): 99.39 99.39 120.03
With the nearest neighbours (Å) after each atom.
Positions (direct):
1 Se 0.3322 0.6678 0.0000  6 Nd 2.99
2 Se 0.6678 0.3322 0.0000  6 Nd 2.99
3 Sb 0.0000 0.0000 0.0000  6 Nd 3.09-3.10
4 Te 0.8379 0.1621 0.5000  6 Nd 3.20-3.27
5 Te 0.1621 0.8379 0.5000  6 Nd 3.20-3.27
6 Te 0.5000 0.5000 0.5000  6 Nd 3.17-3.26
7 Nd 0.0765 0.4206 0.2269  2 Se 2.99, 1 Sb 3.10, 3 Te 3.20-3.27
8 Nd 0.4206 0.0765 0.2269  2 Se 2.99, 1 Sb 3.10, 3 Te 3.20-3.27
9 Nd 0.5794 0.9235 0.7731  2 Se 2.99, 1 Sb 3.10, 3 Te 3.20-3.27
10 Nd 0.7285 0.7285 0.2230  2 Se 2.99, 1 Sb 3.09, 3 Te 3.17-3.24
11 Nd 0.2715 0.2715 0.7770  2 Se 2.99, 1 Sb 3.09, 3 Te 3.17-3.24
12 Nd 0.9235 0.5794 0.7731  2 Se 2.99, 1 Sb 3.10, 3 Te 3.20-3.27

The calculation puts the raw total energy at -5.63 eV per atom. For the total moment, the calculation gives 0.000 μB per atom. The calculation puts the formation energy (no corrections) at -1.539 eV per atom.



3.
## Cs2InTeF (PBE-GGA)

Data for a relaxed Cs2InTeF crystal.

a b c (Å): 5.7942 5.7942 5.5822
angles (deg): 90.00 90.00 90.00
With the nearest neighbours (Å) after each atom.
Positions (direct):
1 Te 0.5000 0.5000 0.5000  8 Cs 4.02, 4 In 4.10
2 Cs 0.0000 0.5000 0.0000  2 F 2.90
3 Cs 0.5000 0.0000 0.0000  2 F 2.90
4 In 0.0000 0.0000 0.5000  2 F 2.79
5 F 0.0000 0.0000 0.0000  2 In 2.79, 4 Cs 2.90

The calculation puts the raw total energy at -3.19 eV per atom. For the total moment, the calculation gives 0.000 μB per atom. The calculation puts the formation energy (no corrections) at -1.295 eV per atom.